Entry 1:
## LaY2Os (PBE-GGA)

Data for a relaxed LaY2Os crystal.

abc: 7.4318 9.3563 6.5191
angles: 90.00 90.00 90.00
Last column: nearest neighbours and their distance in Å.
Positions (direct):
1 La 0.0498 0.2500 0.1350  2 Os 2.70-2.94
2 La 0.4502 0.7500 0.6350  2 Os 2.70-2.94
3 La 0.5498 0.2500 0.3650  2 Os 2.70-2.94
4 La 0.9502 0.7500 0.8650  2 Os 2.70-2.94
5 Y 0.1709 0.0666 0.6668  2 Os 2.89-2.99
6 Y 0.1709 0.4334 0.6668  2 Os 2.89-2.99
7 Y 0.3291 0.5666 0.1668  2 Os 2.89-2.99
8 Y 0.3291 0.9334 0.1668  2 Os 2.89-2.99
9 Y 0.6709 0.0666 0.8332  2 Os 2.89-2.99
10 Y 0.6709 0.4334 0.8332  2 Os 2.89-2.99
11 Y 0.8291 0.5666 0.3332  2 Os 2.89-2.99
12 Y 0.8291 0.9334 0.3332  2 Os 2.89-2.99
13 Os 0.1218 0.7500 0.4578  2 La 2.70-2.94, 4 Y 2.89-2.99
14 Os 0.3782 0.2500 0.9578  2 La 2.70-2.94, 4 Y 2.89-2.99
15 Os 0.6218 0.7500 0.0422  2 La 2.70-2.94, 4 Y 2.89-2.99
16 Os 0.8782 0.2500 0.5422  2 La 2.70-2.94, 4 Y 2.89-2.99

Distance to the lowest polymorph of the same formula   0.0 kJ/mol of formula units
DOS at the Fermi energy   1.0668 states/eV/atom
Energy of formation from the pure elements   -0.83 eV/f.u.

***

Entry 2:
## SbIrOs2 (PBE-GGA)

Data for a relaxed SbIrOs2 crystal.

abc: 5.4509 5.4509 5.4509
angles: 148.72 129.32 60.78
Last column: nearest neighbours and their distance in Å.
Positions (direct):
1 Sb 0.0000 0.0000 0.0000  2 Ir 2.66, 6 Os 2.68-2.76, 2 Sb 2.94
2 Ir 0.7647 0.2647 0.5000  2 Sb 2.66, 4 Os 2.77, 2 Ir 2.94
3 Os 0.2383 0.7383 0.5000  2 Sb 2.68, 4 Os 2.73-2.94, 4 Ir 2.77
4 Os 0.4827 0.4827 0.0000  4 Os 2.73-2.94, 4 Sb 2.76, 2 Ir 3.03

E_form (uncorrected)   0.661 eV per atom
DOS at the Fermi energy   1.1368 states/eV/atom

***

Entry 3:
## LaMg2Au (PBE-GGA)

Data for a relaxed LaMg2Au crystal.

abc: 11.9347 11.9347 11.9347
angles: 159.02 159.02 29.85
Last column: nearest neighbours and their distance in Å.
Positions (direct):
1 La 0.0000 0.0000 0.0000  4 Au 3.07, 4 Mg 3.30
2 La 0.7500 0.2500 0.5000  4 Au 3.07, 4 Mg 3.30
3 Mg 0.1484 0.6250 0.0234  4 Mg 2.93-3.22, 2 Au 3.23
4 Mg 0.3750 0.3984 0.5234  4 Mg 2.93-3.22, 2 Au 3.23
5 Mg 0.6016 0.1250 0.9766  4 Mg 2.93-3.22, 2 Au 3.23
6 Mg 0.8750 0.8516 0.4766  4 Mg 2.93-3.22, 2 Au 3.23
7 Au 0.2500 0.7500 0.5000  4 La 3.07, 4 Mg 3.23
8 Au 0.5000 0.5000 0.0000  4 La 3.07, 4 Mg 3.23

DOS at the Fermi energy   0.8136 states/eV/atom
Energy of formation from the pure elements   -0.65 eV/f.u.

***

Entry 4:
## LiFeSe2 (PBE-GGA)

Data for a relaxed LiFeSe2 crystal.

abc: 3.1559 3.1559 6.7788
angles: 90.00 90.00 90.00
Last column: nearest neighbours and their distance in Å.
Positions (direct):
1 Li 0.0000 0.0000 0.0000  8 Se 2.90, 4 Li 3.16
2 Fe 0.0000 0.0000 0.5000  8 Se 2.71
3 Se 0.5000 0.5000 0.2729  4 Fe 2.71, 4 Li 2.90
4 Se 0.5000 0.5000 0.7271  4 Fe 2.71, 4 Li 2.90

E_form (uncorrected)   -0.265 eV per atom
DOS at the Fermi energy   0.5115 states/eV/atom

***

Entry 5:
## Al2SbOs (PBE-GGA)

Data for a relaxed Al2SbOs crystal.

abc: 4.5716 4.5716 4.5716
angles: 60.00 60.00 60.00
Last column: nearest neighbours and their distance in Å.
Positions (direct):
1 Al 0.0000 0.0000 0.0000  4 Sb 2.80, 4 Al 2.80
2 Al 0.2500 0.2500 0.2500  4 Os 2.80, 4 Al 2.80
3 Sb 0.7500 0.7500 0.7500  4 Os 2.80, 4 Al 2.80
4 Os 0.5000 0.5000 0.5000  4 Sb 2.80, 4 Al 2.80

E_form (uncorrected)   0.290 eV per atom
DOS at the Fermi energy   0.4538 states/eV/atom

***

Entry 6:
## K2Te2Au (PBE-GGA)

Data for a relaxed K2Te2Au crystal.

abc: 6.6994 6.6994 6.6994
angles: 117.24 117.24 94.85
Last column: nearest neighbours and their distance in Å.
Positions (direct):
1 K 0.2500 0.7500 0.5000  4 Te 3.50
2 K 0.7500 0.2500 0.5000  4 Te 3.50
3 Te 0.2147 0.2147 0.0000  1 Au 2.59
4 Te 0.7853 0.7853 0.0000  1 Au 2.59
5 Au 0.5000 0.5000 0.0000  2 Te 2.59

E_form (uncorrected)   -0.570 eV per atom
DOS at the Fermi energy   1.0466 states/eV/atom

***

Entry 7:
## AsOs (PBE-GGA)

Data for a relaxed AsOs crystal.

abc: 4.3779 3.0874 4.3811
angles: 90.00 90.00 90.00
Last column: nearest neighbours and their distance in Å.
Positions (direct):
1 As 0.2500 0.0000 0.2486  8 Os 2.67-2.69
2 As 0.7500 0.0000 0.7514  8 Os 2.67-2.69
3 Os 0.2500 0.5000 0.7453  8 As 2.67-2.69
4 Os 0.7500 0.5000 0.2547  8 As 2.67-2.69

DOS at the Fermi energy   0.6119 states/eV/atom
Energy of formation from the pure elements   0.89 eV/f.u.

***

Entry 8:
## YSb2As (PBE-GGA)

Data for a relaxed YSb2As crystal.

abc: 7.6352 7.6352 7.6352
angles: 32.07 32.07 32.07
Last column: nearest neighbours and their distance in Å.
Positions (direct):
1 Y 0.0000 0.0000 0.0000  6 Sb 3.13
2 Sb 0.2430 0.2430 0.2430  3 As 2.95, 3 Y 3.13
3 Sb 0.7570 0.7570 0.7570  3 As 2.95, 3 Y 3.13
4 As 0.5000 0.5000 0.5000  6 Sb 2.95

E_form (uncorrected)   -0.312 eV per atom
DOS at the Fermi energy   0.0722 states/eV/atom

***

Entry 9:
## Ag4C (PBE-GGA)

Data for a relaxed Ag4C crystal.

abc: 2.9376 2.9376 11.2280
angles: 90.00 90.00 120.00
Last column: nearest neighbours and their distance in Å.
Positions (direct):
1 Ag 0.3333 0.6667 0.1084  10 Ag 2.79-2.97
2 Ag 0.3333 0.6667 0.3572  3 C 2.33
3 Ag 0.6667 0.3333 0.6428  3 C 2.33
4 Ag 0.6667 0.3333 0.8916  10 Ag 2.79-2.97
5 C 0.0000 0.0000 0.5000  6 Ag 2.33

Distance to the lowest polymorph of the same formula   155.8 kJ/mol of formula units
DOS at the Fermi energy   0.4579 states/eV/atom
Energy of formation from the pure elements   5.07 eV/f.u.

***

Entry 10:
## Ho7Tm3Th (PBE-GGA)

Data for a relaxed Ho7Tm3Th crystal.

abc: 9.9353 9.9353 8.0488
angles: 90.00 90.00 64.66
Last column: nearest neighbours and their distance in Å.
Positions (direct):
1 Ho 0.1018 0.6067 0.0559  3 Ho 3.13-3.47, 1 Tm 3.26
2 Ho 0.1018 0.6067 0.4441  3 Ho 3.13-3.47, 1 Tm 3.26
3 Ho 0.2502 0.7498 0.7500  4 Tm 3.33-3.49, 2 Th 3.33, 6 Ho 3.47-3.50
4 Ho 0.2953 0.3804 0.7500  3 Tm 3.07-3.42, 2 Ho 3.33
5 Ho 0.3804 0.2953 0.2500  3 Tm 3.07-3.42, 2 Ho 3.33
6 Ho 0.3933 0.8982 0.0559  3 Ho 3.13-3.47, 1 Tm 3.26
7 Ho 0.3933 0.8982 0.4441  3 Ho 3.13-3.47, 1 Tm 3.26
8 Ho 0.6067 0.1018 0.5559  3 Ho 3.13-3.47, 1 Tm 3.26
9 Ho 0.6067 0.1018 0.9441  3 Ho 3.13-3.47, 1 Tm 3.26
10 Ho 0.6196 0.7047 0.7500  3 Tm 3.07-3.42, 2 Ho 3.33
11 Ho 0.7047 0.6196 0.2500  3 Tm 3.07-3.42, 2 Ho 3.33
12 Ho 0.7498 0.2502 0.2500  4 Tm 3.33-3.49, 2 Th 3.33, 6 Ho 3.47-3.50
13 Ho 0.8982 0.3933 0.5559  3 Ho 3.13-3.47, 1 Tm 3.26
14 Ho 0.8982 0.3933 0.9441  3 Ho 3.13-3.47, 1 Tm 3.26
15 Tm 0.1156 0.2126 0.2500  3 Ho 3.07-3.26
16 Tm 0.2126 0.1156 0.7500  3 Ho 3.07-3.26
17 Tm 0.5000 0.5000 0.0000  10 Ho 3.33-3.66
18 Tm 0.5000 0.5000 0.5000  10 Ho 3.33-3.66
19 Tm 0.7874 0.8844 0.2500  3 Ho 3.07-3.26
20 Tm 0.8844 0.7874 0.7500  3 Ho 3.07-3.26
21 Th 0.0000 0.0000 0.0000  6 Ho 3.33-3.62, 4 Tm 3.45
22 Th 0.0000 0.0000 0.5000  6 Ho 3.33-3.62, 4 Tm 3.45

Distance to the lowest polymorph of the same formula   121.5 kJ/mol of formula units
DOS at the Fermi energy   1.5145 states/eV/atom
Energy of formation from the pure elements   3.37 eV/f.u.

***

Entry 11:
## Mg2CrTe (PBE-GGA)

Data for a relaxed Mg2CrTe crystal.

abc: 3.7998 3.7998 6.0659
angles: 90.00 90.00 90.00
Last column: nearest neighbours and their distance in Å.
Positions (direct):
1 Mg 0.0000 0.0000 0.0000  2 Te 2.88-3.18, 4 Cr 3.05, 4 Mg 3.09
2 Mg 0.5000 0.5000 0.2505  2 Cr 2.96-3.11, 4 Mg 3.09, 4 Te 3.16
3 Cr 0.5000 0.5000 0.7625  6 Mg 2.96-3.11, 4 Te 3.05
4 Te 0.0000 0.0000 0.5250  6 Mg 2.88-3.18, 4 Cr 3.05

E_form (uncorrected)   0.063 eV per atom
DOS at the Fermi energy   0.3580 states/eV/atom

***

Entry 12:
## Mn20W3C6 (PBE-GGA)

Data for a relaxed Mn20W3C6 crystal.

abc: 7.4482 7.4482 7.4482
angles: 60.00 60.00 60.00
Last column: nearest neighbours and their distance in Å.
Positions (direct):
1 Mn 0.0000 0.0000 0.3413  2 C 2.11
2 Mn 0.0000 0.0000 0.6587  2 C 2.11
3 Mn 0.0000 0.3413 0.0000  2 C 2.11
4 Mn 0.0000 0.3413 0.6587  2 C 2.11
5 Mn 0.0000 0.6587 0.0000  2 C 2.11
6 Mn 0.0000 0.6587 0.3413  2 C 2.11
7 Mn 0.1528 0.6157 0.6157  3 C 2.07
8 Mn 0.3413 0.0000 0.0000  2 C 2.11
9 Mn 0.3413 0.0000 0.6587  2 C 2.11
10 Mn 0.3413 0.6587 0.0000  2 C 2.11
11 Mn 0.3843 0.3843 0.3843  3 C 2.07
12 Mn 0.3843 0.3843 0.8472  3 C 2.07
13 Mn 0.3843 0.8472 0.3843  3 C 2.07
14 Mn 0.6157 0.1528 0.6157  3 C 2.07
15 Mn 0.6157 0.6157 0.1528  3 C 2.07
16 Mn 0.6157 0.6157 0.6157  3 C 2.07
17 Mn 0.6587 0.0000 0.0000  2 C 2.11
18 Mn 0.6587 0.0000 0.3413  2 C 2.11
19 Mn 0.6587 0.3413 0.0000  2 C 2.11
20 Mn 0.8472 0.3843 0.3843  3 C 2.07
21 W 0.0000 0.0000 0.0000  12 Mn 2.54
22 W 0.2500 0.2500 0.2500  4 Mn 2.45
23 W 0.7500 0.7500 0.7500  4 Mn 2.45
24 C 0.2747 0.2747 0.7253  8 Mn 2.07-2.11
25 C 0.2747 0.7253 0.2747  8 Mn 2.07-2.11
26 C 0.2747 0.7253 0.7253  8 Mn 2.07-2.11
27 C 0.7253 0.2747 0.2747  8 Mn 2.07-2.11
28 C 0.7253 0.2747 0.7253  8 Mn 2.07-2.11
29 C 0.7253 0.7253 0.2747  8 Mn 2.07-2.11

DOS at the Fermi energy   0.9942 states/eV/atom
Energy of formation from the pure elements   -1.63 eV/f.u.

***

Entry 13:
## SrZnAu3 (PBE-GGA)

Data for a relaxed SrZnAu3 crystal.

abc: 6.7610 6.7610 11.7055
angles: 90.00 90.00 120.00
Last column: nearest neighbours and their distance in Å.
Positions (direct):
1 Sr 0.0000 0.0000 0.0000  12 Au 3.34-3.38
2 Sr 0.0000 0.0000 0.5000  12 Au 3.34-3.38
3 Sr 0.3333 0.6667 0.2500  12 Au 3.40-3.52
4 Sr 0.6667 0.3333 0.7500  12 Au 3.40-3.52
5 Zn 0.3333 0.6667 0.6418  1 Zn 2.53, 6 Au 2.56-2.62
6 Zn 0.3333 0.6667 0.8582  1 Zn 2.53, 6 Au 2.56-2.62
7 Zn 0.6667 0.3333 0.1418  1 Zn 2.53, 6 Au 2.56-2.62
8 Zn 0.6667 0.3333 0.3582  1 Zn 2.53, 6 Au 2.56-2.62
9 Au 0.0000 0.5000 0.0000  2 Zn 2.56
10 Au 0.0000 0.5000 0.5000  2 Zn 2.56
11 Au 0.1376 0.2752 0.7500  2 Zn 2.62, 2 Au 2.79
12 Au 0.1376 0.8624 0.7500  2 Zn 2.62, 2 Au 2.79
13 Au 0.2752 0.1376 0.2500  2 Zn 2.62, 2 Au 2.79
14 Au 0.5000 0.0000 0.0000  2 Zn 2.56
15 Au 0.5000 0.0000 0.5000  2 Zn 2.56
16 Au 0.5000 0.5000 0.0000  2 Zn 2.56
17 Au 0.5000 0.5000 0.5000  2 Zn 2.56
18 Au 0.7248 0.8624 0.7500  2 Zn 2.62, 2 Au 2.79
19 Au 0.8624 0.1376 0.2500  2 Zn 2.62, 2 Au 2.79
20 Au 0.8624 0.7248 0.2500  2 Zn 2.62, 2 Au 2.79

Distance to the lowest polymorph of the same formula   15.8 kJ/mol of formula units
DOS at the Fermi energy   0.3959 states/eV/atom
Energy of formation from the pure elements   -2.36 eV/f.u.

***

Entry 14:
## ZrAsP (PBE-GGA)

Data for a relaxed ZrAsP crystal.

abc: 7.9382 7.9382 7.9382
angles: 159.05 159.05 29.80
Last column: nearest neighbours and their distance in Å.
Positions (direct):
1 Zr 0.0000 0.0000 0.0000  4 P 2.85, 4 Zr 2.89, 4 As 2.97
2 As 0.6409 0.6409 0.0000  4 As 2.89, 4 Zr 2.97
3 P 0.3706 0.3706 0.0000  4 Zr 2.85, 4 P 2.89

Distance to the lowest polymorph of the same formula   182.5 kJ/mol of formula units
DOS at the Fermi energy   0.6801 states/eV/atom
Energy of formation from the pure elements   -0.76 eV/f.u.

***

Entry 15:
## SrLiBe2 (PBE-GGA)

Data for a relaxed SrLiBe2 crystal.

abc: 4.8764 4.8764 4.8764
angles: 60.00 60.00 60.00
Last column: nearest neighbours and their distance in Å.
Positions (direct):
1 Sr 0.0000 0.0000 0.0000  8 Be 2.99
2 Li 0.5000 0.5000 0.5000  8 Be 2.99
3 Be 0.2500 0.2500 0.2500  4 Li 2.99, 4 Sr 2.99
4 Be 0.7500 0.7500 0.7500  4 Li 2.99, 4 Sr 2.99

Distance to the lowest polymorph of the same formula   147.3 kJ/mol of formula units
DOS at the Fermi energy   1.4222 states/eV/atom
Energy of formation from the pure elements   2.69 eV/f.u.

***

Entry 16:
## La3Eu (PBE-GGA)

Data for a relaxed La3Eu crystal.

abc: 7.1759 7.1759 7.1759
angles: 149.25 64.10 125.27
Last column: nearest neighbours and their distance in Å.
Positions (direct):
1 La 0.0000 0.0000 0.0000  8 La 3.69-3.82, 4 Eu 3.78-3.83
2 La 0.0801 0.3360 0.7441  9 La 3.69-3.82, 3 Eu 3.72-3.80
3 La 0.5919 0.3360 0.2559  9 La 3.69-3.82, 3 Eu 3.72-3.80
4 Eu 0.4958 0.9958 0.5000  10 La 3.72-3.83, 2 Eu 3.81

DOS at the Fermi energy   1.7461 states/eV/atom
Energy of formation from the pure elements   0.22 eV/f.u.

***

Entry 17:
## Nd4GaIrBr2 (PBE-GGA)

Data for a relaxed Nd4GaIrBr2 crystal.

abc: 7.5894 4.1267 8.0359
angles: 90.00 107.98 90.00
Last column: nearest neighbours and their distance in Å.
Positions (direct):
1 Nd 0.2303 0.0000 0.2006  2 Ir 2.86, 1 Ga 2.97
2 Nd 0.2364 0.5000 0.7930  1 Ir 2.80, 2 Ga 3.00
3 Nd 0.7636 0.5000 0.2070  1 Ir 2.80, 2 Ga 3.00
4 Nd 0.7697 0.0000 0.7994  2 Ir 2.86, 1 Ga 2.97
5 Ga 0.5000 0.0000 0.0000  6 Nd 2.97-3.00
6 Ir 0.0000 0.5000 0.0000  6 Nd 2.80-2.86
7 Br 0.0000 0.0000 0.5000  6 Nd 3.23-3.38
8 Br 0.5000 0.5000 0.5000  6 Nd 3.35-3.53

E_form (uncorrected)   -0.966 eV per atom
DOS at the Fermi energy   0.7806 states/eV/atom

***

Entry 18:
## Y2RePdC (PBE-GGA)

Data for a relaxed Y2RePdC crystal.

abc: 4.9472 4.9472 3.9350
angles: 90.00 90.00 90.00
Last column: nearest neighbours and their distance in Å.
Positions (direct):
1 Y 0.0000 0.5000 0.0000  2 C 2.47
2 Y 0.5000 0.0000 0.0000  2 C 2.47
3 Re 0.0000 0.0000 0.5000  2 C 1.97
4 Pd 0.5000 0.5000 0.5000  8 Y 3.16, 4 Re 3.50
5 C 0.0000 0.0000 0.0000  2 Re 1.97

DOS at the Fermi energy   0.6761 states/eV/atom
Energy of formation from the pure elements   -1.76 eV/f.u.

***

Entry 19:
## Th2As4Ru3Pt (PBE-GGA)

Data for a relaxed Th2As4Ru3Pt crystal.

abc: 4.3056 4.3056 10.0157
angles: 90.00 90.00 90.00
Last column: nearest neighbours and their distance in Å.
Positions (direct):
1 Th 0.0000 0.5000 0.2456  8 As 3.24-3.27, 6 Ru 3.30-3.34, 2 Pt 3.34
2 Th 0.5000 0.0000 0.7544  8 As 3.24-3.27, 6 Ru 3.30-3.34, 2 Pt 3.34
3 As 0.0000 0.0000 0.0000  4 Ru 2.45
4 As 0.0000 0.5000 0.6430  3 Ru 2.40-2.59, 2 Pt 2.59
5 As 0.5000 0.0000 0.3570  3 Ru 2.40-2.59, 2 Pt 2.59
6 As 0.5000 0.5000 0.0000  4 Ru 2.45
7 Ru 0.0000 0.5000 0.8825  5 As 2.40-2.45
8 Ru 0.5000 0.0000 0.1175  5 As 2.40-2.45
9 Ru 0.5000 0.5000 0.5000  4 As 2.59
10 Pt 0.0000 0.0000 0.5000  4 As 2.59

DOS at the Fermi energy   0.5706 states/eV/atom
Energy of formation from the pure elements   -7.61 eV/f.u.

***

Entry 20:
## LiMnCl2 (PBE-GGA)

Data for a relaxed LiMnCl2 crystal.

abc: 3.4868 5.1563 4.4457
angles: 90.00 106.23 90.00
Last column: nearest neighbours and their distance in Å.
Positions (direct):
1 Li 0.0000 0.0000 0.0000  3 Cl 2.41-2.64
2 Mn 0.4358 0.5000 0.6015  5 Cl 2.43-2.62
3 Cl 0.3639 0.0000 0.6055  3 Li 2.41-2.64, 2 Mn 2.59
4 Cl 0.7525 0.5000 0.1632  3 Mn 2.43-2.62

Distance to the lowest polymorph of the same formula   49.5 kJ/mol of formula units
E_form (uncorrected)   -0.834 eV per atom
DOS at the Fermi energy   0.3384 states/eV/atom

***

VASP energy in eV for the cell shown, matching the order above: -119.6; -32.8; -24.1; -18.4; -21.7; -14.6; -30.0; -20.6; -15.6; -99.0; -15.7; -279.2; -60.6; -19.4; -8.4; -24.8; -42.0; -41.6; -74.9; -18.1
Volume in Å³/atom, matching the order above: 28.3; 16.1; 27.2; 16.9; 16.9; 44.1; 14.8; 27.9; 16.8; 32.6; 21.9; 10.1; 23.2; 21.3; 20.5; 38.2; 29.9; 19.3; 18.6; 19.2